(A)
The following is a PBE calculation of an optimized crystal structure of LiReHg3, from the Alexandria database.

## Properties
Mass density ... 12.2 g/cm³
Fermi-level density of states ... 2.8 states/eV/f.u.

Unit cell a=4.7663 b=4.7663 c=4.7663 alpha=90.00 beta=90.00 gamma=90.00
Space group Pm-3m (No. 221)
Symmetry-distinct sites (fractional):
1 Li 0.0000 0.0000 0.0000
2 Re 0.5000 0.5000 0.5000
3 Hg 0.0000 0.0000 0.5000

(B)
The following is a PBE calculation of an optimized crystal structure of LiReHg3, from the Alexandria database.

## Properties
Mass density ... 9.0 g/cm³
Fermi-level density of states ... 4.1 states/eV/f.u.

Unit cell a=5.2681 b=5.2681 c=5.2681 alpha=90.00 beta=90.00 gamma=90.00
Space group Pm-3m (No. 221)
Symmetry-distinct sites (fractional):
1 Li 0.0000 0.0000 0.0000
2 Re 0.5000 0.5000 0.5000
3 Hg 0.0000 0.5000 0.5000

Most stable: (B)

(A)
The following is a PBE calculation of an optimized crystal structure of Li3ReHg, from the Alexandria database.

## Properties
Mass density ... 6.4 g/cm³
Fermi-level density of states ... 6.5 states/eV/f.u.

Unit cell a=4.7218 b=4.7218 c=4.7218 alpha=90.00 beta=90.00 gamma=90.00
Space group Pm-3m (No. 221)
Symmetry-distinct sites (fractional):
1 Li 0.0000 0.0000 0.5000
2 Re 0.5000 0.5000 0.5000
3 Hg 0.0000 0.0000 0.0000

(B)
The following is a PBE calculation of an optimized crystal structure of Li3ReHg, from the Alexandria database.

## Properties
Mass density ... 5.5 g/cm³
Fermi-level density of states ... 7.8 states/eV/f.u.

Unit cell a=4.9672 b=4.9672 c=4.9672 alpha=90.00 beta=90.00 gamma=90.00
Space group Pm-3m (No. 221)
Symmetry-distinct sites (fractional):
1 Li 0.0000 0.0000 0.5000
2 Re 0.0000 0.0000 0.0000
3 Hg 0.5000 0.5000 0.5000

Most stable: (A)